# 1
# AlP2Cl

Crystalline AlP2Cl at its relaxed geometry (PBE, Alexandria via LeMat-Bulk).

Structure (POSCAR):
```
AlP2Cl
1.0
-2.529 -0.334 1.758
-0.708 -2.608 -1.514
4.631 -4.618 5.787
P Al Cl
2 1 1
Cartesian
0.503 -0.502 0.629
-0.597 -2.489 1.398
2.304 -2.298 2.879
1.500 -4.580 4.018
```

* polymorph energy (0 for the lowest one): 367 meV per atom
* crystal system: tetragonal
* formation energy from raw total energies: 25.4 kJ/mol of formula units
* total DFT energy (no corrections): -4.04 eV/atom
* space-group type: No. 99
* mass density: 2.46 g/cm3

---

# 2
# Fe8Cu

Crystalline Fe8Cu at its relaxed geometry (PBE, Alexandria via LeMat-Bulk).

Structure (POSCAR):
```
Fe8Cu
1.0
-1.953 2.070 -0.735
-4.867 -3.213 -1.996
-1.232 -1.145 5.931
Fe Cu
8 1
Cartesian
-4.066 -2.905 2.623
-4.536 -0.750 -1.816
-1.719 0.998 1.503
-1.466 -0.073 3.693
-4.306 -1.833 0.402
-2.285 -0.393 -0.915
-3.746 -0.454 2.798
-2.034 -1.453 1.312
0.000 0.000 0.000
```

* crystal system: tetragonal
* total DFT energy (no corrections): -7.91 eV/atom
* space-group type: No. 139
* mass density: 8.04 g/cm3
* ΔE_f: 0.071 eV per atom

---

Question: Among the records above, which one has the highest mass density?
Answer: Fe8Cu